This record from the Alexandria database describes an optimized crystal structure of BaTeOsI2. The functional is GGA-PBEsol.

Summary:
- Space-group type: P4/mmm
- Energy relative to the elements, uncorrected: 1.24 eV/atom
- Size of the total moment: 1.2037 μB per atom

Unit cell a=6.466 b=6.466 c=6.634 alpha=90.00 beta=90.00 gamma=90.00
Sites, in units of the cell vectors:
Ba 0.000 0.000 0.000
Te 0.000 0.000 0.500
Os 0.500 0.500 0.500
I 0.000 0.500 0.000
I 0.500 0.000 0.000